The following is a DFT calculation (PBE with a Hubbard U) of crystalline Ru3WF at its relaxed geometry.

The value obtained for the energy above the most stable polymorph in this dataset is 0 meV per atom. The total energy is -6.303 eV per atom.

The structure belongs to space group Pm-3m (No. 221); the cell edges are 4.161, 4.161 and 4.161 Å and the angles 90.00°, 90.00° and 90.00°. The inequivalent atoms are Ru at (0.000, 0.000, 0.500), W at (0.500, 0.500, 0.500) and F at (0.000, 0.000, 0.000).